SrBe2SiSe (PBE-GGA, relaxed); total moment = 0.000 μB per cell; raw formation energy = 538.4 meV per atom; SG = P4/mmm (123)
1.0
-1.708 3.027 2.778
1.349 -2.428 3.475
4.962 2.783 0.019
Se Be Si Sr
1 2 1 1
Direct
0.000 0.000 0.000
0.500 0.000 0.000
0.000 0.500 0.000
0.500 0.500 0.500
0.000 0.000 0.500